Record 1
Crystalline PrLuO3 at its relaxed geometry. Source: the Alexandria database, functional PBE.

Results
The total moment comes out at 0.000 μB/atom. The density of states at the Fermi level is 0.00 states/eV/atom. For the volume, the calculation gives 14.5 Å³ per atom. Its energy relative to the elements, uncorrected is -3.498 eV/atom.

Geometry as POSCAR:
```
PrLuO3
1.0
-4.355 -2.130 -3.132
3.925 -2.987 -3.427
-0.497 -6.577 5.163
Pr Lu O
4 4 12
Cartesian
-4.192 -3.896 -1.969
-0.720 -7.293 0.832
-0.207 -4.400 -2.228
3.265 -7.797 0.573
1.963 -1.493 -1.713
-2.178 -1.065 -1.566
-2.426 -4.353 1.015
1.714 -4.782 0.868
-2.054 -5.236 -0.977
-0.358 -4.730 1.639
-0.387 -4.550 -4.929
0.944 -8.870 1.476
1.127 -6.458 -0.418
-0.569 -6.963 -3.035
-0.540 -7.143 3.533
-1.871 -2.823 -2.872
1.083 -3.241 -0.628
-2.881 -6.425 1.730
1.954 -5.269 -3.126
-2.010 -8.452 -0.768
```


Record 2
Crystalline Pr2LuO at its relaxed geometry. Source: the Alexandria database, functional PBE.

Results
The total moment comes out at 0.000 μB/atom. The density of states at the Fermi level is 1.24 states/eV/atom. For the volume, the calculation gives 24.4 Å³ per atom. Its energy relative to the elements, uncorrected is -0.805 eV/atom.

Geometry as POSCAR:
```
Pr2LuO
1.0
-1.895 -2.568 0.729
0.968 -1.494 -2.747
6.911 -3.818 4.512
Pr Lu O
2 1 1
Cartesian
5.717 -3.159 3.733
1.194 -0.660 0.779
2.992 -3.940 1.247
-0.463 -2.031 -1.009
```


Record 3
Crystalline LuPtO2 at its relaxed geometry. Source: the Alexandria database, functional PBE.

Results
The total moment comes out at 0.000 μB/atom. The density of states at the Fermi level is 0.97 states/eV/atom. For the volume, the calculation gives 14.9 Å³ per atom. Its energy relative to the elements, uncorrected is -2.156 eV/atom.

Geometry as POSCAR:
```
LuPtO2
1.0
3.341 0.000 0.000
1.670 2.893 0.000
1.670 0.964 6.157
Lu O Pt
1 2 1
Cartesian
3.341 1.929 3.078
1.670 0.964 4.125
5.011 2.893 2.032
0.000 0.000 0.000
```


Record 4
Crystalline Lu2PuO at its relaxed geometry. Source: the Alexandria database, functional PBE.

Results
The total moment comes out at 1.544 μB/atom. The density of states at the Fermi level is 2.09 states/eV/atom. For the volume, the calculation gives 22.0 Å³ per atom. Its energy relative to the elements, uncorrected is -1.124 eV/atom. The energy above the most stable polymorph in this dataset comes out at 0 meV per atom.

Geometry as POSCAR:
```
Lu2PuO
1.0
-2.498 -1.002 1.965
-2.437 -1.903 -1.242
3.098 -8.477 2.443
Lu O Pu
2 1 1
Cartesian
1.416 -5.814 1.662
-3.253 -5.568 1.503
-0.918 -5.691 1.583
0.000 0.000 0.000
```


Record 5
Crystalline LuPuO at its relaxed geometry. Source: the Alexandria database, functional PBE.

Results
The total moment comes out at 1.781 μB/atom. The density of states at the Fermi level is 2.25 states/eV/atom. For the volume, the calculation gives 19.8 Å³ per atom. Its energy relative to the elements, uncorrected is -1.582 eV/atom.

Geometry as POSCAR:
```
LuPuO
1.0
3.374 0.000 0.000
-1.687 2.922 0.000
0.000 0.000 6.030
Lu O Pu
1 1 1
Cartesian
1.687 0.974 2.654
0.000 1.948 3.863
0.000 0.000 5.543
```


Record 6
Crystalline Lu2PuO at its relaxed geometry. Source: the Alexandria database, functional PBE.

Results
The total moment comes out at 1.422 μB/atom. The density of states at the Fermi level is 1.59 states/eV/atom. For the volume, the calculation gives 19.9 Å³ per atom. Its energy relative to the elements, uncorrected is -0.812 eV/atom. The energy above the most stable polymorph in this dataset comes out at 312 meV per atom.

Geometry as POSCAR:
```
Lu2PuO
1.0
-0.322 -3.025 0.304
1.063 -0.398 -2.839
7.926 -0.536 3.042
Lu O Pu
2 1 1
Cartesian
6.476 -0.438 2.486
1.450 -0.098 0.556
0.371 -1.712 -1.267
4.333 -1.980 0.254
```


Record 7
Crystalline LuPuO2 at its relaxed geometry. Source: the Alexandria database, functional PBE.

Results
The total moment comes out at 1.446 μB/atom. The density of states at the Fermi level is 1.13 states/eV/atom. For the volume, the calculation gives 14.3 Å³ per atom. Its energy relative to the elements, uncorrected is -2.724 eV/atom.

Geometry as POSCAR:
```
LuPuO2
1.0
3.346 0.000 0.000
1.673 2.897 0.000
1.673 0.966 5.904
Lu O Pu
1 2 1
Cartesian
0.000 0.000 0.000
1.673 0.966 1.174
5.019 2.897 4.730
3.346 1.932 2.952
```


Record 8
Crystalline RbLuO2 at its relaxed geometry. Source: the Alexandria database, functional PBE.

Results
The total moment comes out at 0.000 μB/atom. The density of states at the Fermi level is 0.00 states/eV/atom. For the volume, the calculation gives 16.5 Å³ per atom. Its energy relative to the elements, uncorrected is -2.759 eV/atom.

Geometry as POSCAR:
```
RbLuO2
1.0
6.819 0.001 0.000
5.963 3.309 0.000
5.963 1.544 2.927
Rb Lu O
1 1 2
Cartesian
0.000 0.000 0.000
9.372 2.427 1.464
14.549 3.767 2.272
4.196 1.086 0.655
```